[1]
DFT (PBE) results for an optimized crystal structure of Sc2AsH.

Cell lengths 3.621, 3.621, 6.602 Å; angles 74.09, 90.00, 60.00 degrees
Last column: magnetic moment on the atom in μB.
Positions (direct):
Sc1 0.403 0.168 0.050  -0.01
As1 0.973 0.028 0.760  0.00
Sc2 0.218 0.537 0.495  0.18
H1 0.111 0.752 0.174  0.00

density of states at the Fermi level: 1.97 states/eV per cell



[2]
DFT (PBE) results for an optimized crystal structure of ScAsH.

Cell lengths 3.868, 3.868, 20.287 Å; angles 90.00, 90.00, 120.00 degrees
Positions (direct):
Sc1 0.333 0.667 0.971
H1 0.667 0.333 0.489
As1 0.333 0.667 0.386
H2 0.333 0.667 0.822
As2 0.667 0.333 0.228
Sc2 0.667 0.333 0.809
H3 0.667 0.333 0.448
Sc3 0.667 0.333 0.638
As3 0.667 0.333 0.052
As4 0.333 0.667 0.561
As5 0.000 0.000 0.719
H4 0.000 0.000 0.156
As6 0.000 0.000 0.894
H5 0.333 0.667 0.782
Sc4 0.000 0.000 0.475
Sc5 0.000 0.000 0.305
H6 0.000 0.000 0.115
Sc6 0.333 0.667 0.142



[3]
DFT (PBE) results for an optimized crystal structure of Sc4As2H.

Cell lengths 4.025, 4.025, 7.984 Å; angles 104.60, 104.60, 90.00 degrees
Last column: magnetic moment on the atom in μB.
Positions (direct):
Sc1 0.000 0.500 0.000  0.40
Sc2 0.179 0.179 0.358  0.04
Sc3 0.500 0.000 0.000  0.40
Sc4 0.821 0.821 0.642  0.04
As1 0.637 0.637 0.273  -0.01
H1 0.000 0.000 0.000  0.00
As2 0.363 0.363 0.727  -0.01

density of states at the Fermi level: 7.29 states/eV per cell



[4]
DFT (PBE) results for an optimized crystal structure of Sc2AsH.

Cell lengths 6.342, 6.342, 5.494 Å; angles 54.75, 54.75, 90.00 degrees
Last column: magnetic moment on the atom in μB.
Positions (direct):
As1 0.750 0.250 0.500  0.00
H1 0.500 0.500 0.000  0.00
H2 0.250 0.750 0.500  0.00
Sc1 0.550 0.125 0.250  0.14
Sc2 0.200 0.625 0.250  0.15
Sc3 0.875 0.800 0.750  0.13
As2 0.000 0.000 0.000  0.00
Sc4 0.375 0.450 0.750  0.12

density of states at the Fermi level: 6.21 states/eV per cell



[5]
DFT (PBE) results for an optimized crystal structure of ScAsH.

Cell lengths 3.784, 3.674, 13.530 Å; angles 90.00, 105.41, 90.00 degrees
Positions (direct):
Sc1 0.728 0.500 0.299
Sc2 0.925 0.000 0.515
Sc3 0.925 0.500 0.015
As1 0.619 0.000 0.134
H1 0.182 0.000 0.090
As2 0.290 0.000 0.363
As3 0.619 0.500 0.634
H2 0.873 0.500 0.450
H3 0.873 0.000 0.950
H4 0.182 0.500 0.590
Sc4 0.728 0.000 0.799
As4 0.290 0.500 0.863

density of states at the Fermi level: 0.84 states/eV per cell



[6]
DFT (PBE) results for an optimized crystal structure of Sc5As2H2.

Cell lengths 6.683, 5.644, 9.249 Å; angles 107.77, 111.18, 90.00 degrees
Last column: magnetic moment on the atom in μB.
Positions (direct):
Sc1 0.119 0.727 0.500  0.01
As1 0.455 0.861 0.793  0.00
H1 0.167 0.366 0.500  0.00
Sc2 0.226 0.689 0.952  0.09
Sc3 0.211 0.116 0.305  0.01
As2 0.837 0.361 0.793  0.00
Sc4 0.789 0.811 0.695  0.01
Sc5 0.226 0.189 0.952  0.09
Sc6 0.774 0.737 0.048  0.09
H2 0.000 0.962 0.000  0.00
As3 0.163 0.568 0.207  0.00
Sc7 0.406 0.311 0.695  0.01
H3 0.500 0.462 0.000  0.00
H4 0.833 0.866 0.500  0.00
Sc8 0.881 0.227 0.500  0.01
Sc9 0.774 0.237 0.048  0.09
Sc10 0.594 0.616 0.305  0.01
As4 0.545 0.068 0.207  0.00

density of states at the Fermi level: 16.06 states/eV per cell



For reference, E_tot by record: -5.83 -5.55 -6.35 -5.98 -5.51 -6.04 eV per atom.